Record 1
{"formula": "CdGaAg2F8", "functional": "PBE", "state": "optimized geometry", "lattice": [[-4.091, -1.095, -2.986], [-0.900, -4.015, 3.385], [-3.852, 4.059, 3.789]], "species": ["Cd", "Ga", "Ag", "Ag", "F", "F", "F", "F", "F", "F", "F", "F"], "frac_coords": [[0.000, 0.000, 0.500], [0.000, 0.000, 0.000], [0.500, 0.500, 0.762], [0.500, 0.500, 0.238], [0.175, 0.840, 0.212], [0.732, 0.721, 0.000], [0.825, 0.160, 0.212], [0.825, 0.160, 0.788], [0.268, 0.279, 0.000], [0.175, 0.840, 0.788], [0.694, 0.686, 0.500], [0.306, 0.314, 0.500]], "formation_energy_uncorrected_ev_per_atom": -1.875, "sg": "P2/m, No. 10", "e_tot_ev_per_atom": -3.93}


Record 2
{"formula": "ErTh2Si2Ir7", "functional": "PBE", "state": "optimized geometry", "lattice": [[-2.894, -2.322, -1.707], [1.925, -3.376, 1.255], [-7.157, -1.495, 11.110]], "species": ["Er", "Th", "Th", "Si", "Si", "Ir", "Ir", "Ir", "Ir", "Ir", "Ir", "Ir"], "frac_coords": [[0.000, 0.000, 0.000], [0.900, 0.900, 0.345], [0.100, 0.100, 0.655], [0.577, 0.577, 0.750], [0.423, 0.423, 0.250], [0.500, 0.500, 0.000], [0.371, 0.371, 0.427], [0.629, 0.629, 0.573], [0.951, 0.452, 0.157], [0.452, 0.951, 0.157], [0.548, 0.049, 0.843], [0.049, 0.548, 0.843]], "formation_energy_uncorrected_ev_per_atom": -0.819, "sg": "C2/m, No. 12", "e_tot_ev_per_atom": -8.51}